[1]
A plane-wave DFT calculation with PBE was carried out for crystalline La2Pa4Ge3N2 at its relaxed geometry.

Calculated values
The symmetry is No. 139.

abc: 12.5363 12.5363 12.5363
angles: 158.79 158.79 30.17
Closest atoms and distances in Å follow each position.
Sites, in units of the cell vectors:
La 0.1986 0.1986 0.0000  1 N 2.70
La 0.8014 0.8014 0.0000  1 N 2.70
Pa 0.0801 0.5801 0.5000  2 N 2.31
Pa 0.4199 0.9199 0.5000  2 N 2.31
Pa 0.5801 0.0801 0.5000  2 N 2.31
Pa 0.9199 0.4199 0.5000  2 N 2.31
Ge 0.3325 0.3325 0.0000  4 Pa 3.13, 5 La 3.24-3.35
Ge 0.5000 0.5000 0.0000  8 Pa 3.01
Ge 0.6675 0.6675 0.0000  4 Pa 3.13, 5 La 3.24-3.35
N 0.0872 0.0872 0.0000  4 Pa 2.31
N 0.9128 0.9128 0.0000  4 Pa 2.31

[2]
A plane-wave DFT calculation with PBE was carried out for crystalline Hg2SbPt at its relaxed geometry.

Calculated values
The symmetry is No. 12.

abc: 6.0967 6.0967 3.9337
angles: 108.76 108.76 122.87
Closest atoms and distances in Å follow each position.
Sites, in units of the cell vectors:
Hg 0.0000 0.5000 0.0000  4 Hg 2.92, 2 Sb 3.05, 2 Pt 3.05
Hg 0.5000 0.0000 0.0000  4 Hg 2.92, 2 Sb 3.05, 2 Pt 3.05
Sb 0.0000 0.0000 0.5000  4 Pt 2.92, 4 Hg 3.05
Pt 0.5000 0.5000 0.5000  4 Sb 2.92, 4 Hg 3.05

Number 1: calculated volume 23.42 A^3/atom, formation energy without anion corrections -884 meV/atom, VASP energy -8.006 eV/atom. Number 2: calculated volume 22.72 A^3/atom, formation energy without anion corrections 98 meV/atom, VASP energy -2.594 eV/atom.